Compound: ZnP2Os
Source: Alexandria via LeMat-Bulk
Functional: GGA-PBE
Structure: relaxed

Values from the calculation:
- Final energy: -5.9163 eV per atom
- DOS at the Fermi energy: 1.30 states/eV/cell
- Space group: Cm (8)
- Formation energy: -0.085 eV per atom
- Size of the total moment: 0.00 μB/cell

abc: 4.213 4.213 6.026
angles: 111.20 111.20 41.58
Sites, in units of the cell vectors:
Os (0.339, 0.339, 0.064)
P (0.081, 0.081, 0.160)
P (0.706, 0.706, 0.735)
Zn (0.374, 0.374, 0.542)